A plane-wave DFT calculation with PBE+U was carried out for an optimized crystal structure of TiMn2V3P6O24.

abc: 8.6469 8.6469 21.1869
angles: 90.00 90.00 120.00
Closest atoms and distances in Å follow each position.
Space group R3 (No. 146, hexagonal axes)
One atom of each set of equivalent atoms:
Ti: 0.0000 0.0000 0.0000 (multiplicity 3)  6 O 1.89-2.05
Mn: 0.0000 0.0000 0.1459 (multiplicity 3)  6 O 2.26-2.27
Mn: 0.0000 0.0000 0.6461 (multiplicity 3)  6 O 2.25-2.26
V: 0.0000 0.0000 0.2901 (multiplicity 3)  6 O 1.93-2.06
V: 0.0000 0.0000 0.5025 (multiplicity 3)  6 O 1.95-2.08
V: 0.0000 0.0000 0.7885 (multiplicity 3)  6 O 1.95-2.04
P: 0.0005 0.2925 0.8948 (multiplicity 9)  4 O 1.52-1.56
P: 0.0419 0.6676 0.0627 (multiplicity 9)  4 O 1.53-1.57
O: 0.0004 0.1950 0.8349 (multiplicity 9)  1 P 1.52
O: 0.9995 0.8061 0.3358 (multiplicity 9)  1 P 1.53
O: 0.0045 0.1895 0.9544 (multiplicity 9)  1 P 1.56
O: 0.0189 0.8360 0.0659 (multiplicity 9)  1 P 1.57
O: 0.0238 0.1881 0.5685 (multiplicity 9)  1 P 1.55
O: 0.1398 0.6705 0.1231 (multiplicity 9)  1 P 1.53
O: 0.1664 0.6845 0.3912 (multiplicity 9)  1 P 1.56
O: 0.1678 0.4819 0.8914 (multiplicity 9)  1 P 1.55

## Properties
* energy: -831.4 eV for the cell shown
* crystal system: trigonal
* mass density: 3.197 Mg/m³